(1)
# KInAs2

A relaxed structure of KInAs2 (GGA-PBEsol, Alexandria via LeMat-Bulk).

Its density of states at the Fermi level is 1.90 states/eV/cell. The value obtained for the size of the total moment is 0.000 μB/f.u. The energy of formation is -0.137 eV/atom.

The space group is Imm2 (No. 44) and the conventional cell measures 4.077, 4.641 and 12.098 Å, with angles of 90.00, 90.00 and 90.00 degrees. Symmetry generates all atoms from K at (0.000, 0.000, 0.000), In at (0.000, 0.500, 0.226), As at (0.000, 0.000, 0.382) and As at (0.000, 0.500, 0.757).

---

(2)
# K2AuC2

A relaxed structure of K2AuC2 (GGA-PBEsol, Alexandria via LeMat-Bulk).

Its density of states at the Fermi level is 1.82 states/eV/cell. The value obtained for the size of the total moment is 0.000 μB/f.u. The energy of formation is 0.619 eV/atom.

The space group is I4/mmm (No. 139) and the conventional cell measures 5.720, 5.720 and 6.455 Å, with angles of 90.00, 90.00 and 90.00 degrees. Symmetry generates all atoms from K at (0.000, 0.500, 0.250), Au at (0.000, 0.000, 0.000) and C at (0.000, 0.000, 0.401).